Below is a geometry-optimized TiNb2Re structure, with properties calculated at the PBE level.

Unit cell a=7.304 b=7.304 c=5.501 alpha=90.00 beta=90.00 gamma=90.00
Space group I-42d (No. 122)
Symmetry-distinct sites (fractional):
Ti 0.000 0.000 0.000 x4
Nb 0.228 0.250 0.625 x8
Re 0.000 0.000 0.500 x4

The value obtained for the density is 9.5 g cm⁻³. The formation energy is 1.846 eV/f.u. The volume is 293 Å³ per cell. The value obtained for the density of states at the Fermi level is 9.7 states/eV per cell.